DFT (GGA-PBE) results for a relaxed structure of Al2CoRu.

a b c (Å): 3.108 3.108 5.523
angles (deg): 90.00 90.00 90.00
Positions (direct):
Al1 0.000 0.000 0.000
Al2 0.500 0.500 0.293
Co1 0.000 0.000 0.492
Ru1 0.500 0.500 0.785

Results
calculated formation energy	-30.34	kJ per mole of atoms
total magnetic moment	0.287	μB/atom